Record 1
This record from Alexandria describes a relaxed structure of BeSi2Pt. The functional is PBE-GGA.

## Properties
- ΔE_f (raw): -0.023 eV per atom
- Total moment: 0.00 μB per formula unit
- Space group: P4mm, No. 99
- E: -5.18 eV/atom

abc: 2.7678 2.7679 6.8986
angles: 90.00 90.00 90.00
Closest atoms and distances in Å follow each position.
Positions (direct):
Si 0.0000 0.0000 0.9900  4 Pt 2.69, 8 Si 2.77-2.79
Si 0.5000 0.5000 0.2791  4 Be 2.52, 8 Si 2.77-2.79
Be 0.0000 0.0000 0.5093  4 Pt 2.44, 4 Si 2.52
Pt 0.5000 0.5000 0.7216  4 Be 2.44, 4 Si 2.69


Record 2
This record from Alexandria describes a relaxed structure of Be2SiPt. The functional is PBE-GGA.

## Properties
- ΔE_f (raw): -0.273 eV per atom
- Total moment: 0.00 μB per formula unit
- Space group: F222, No. 22
- E: -5.00 eV/atom

abc: 4.3841 4.3841 4.3486
angles: 131.75 131.76 71.27
Closest atoms and distances in Å follow each position.
Positions (direct):
Si 0.2500 0.7500 0.5000  8 Be 2.49-2.55, 4 Pt 2.52
Be 0.7500 0.2500 0.5000  4 Si 2.49-2.55, 4 Pt 2.52, 4 Be 2.52
Be 0.0000 0.0000 0.0000  4 Pt 2.49-2.55, 4 Be 2.52, 4 Si 2.52
Pt 0.5000 0.5000 0.0000  8 Be 2.49-2.55, 4 Si 2.52


Record 3
This record from Alexandria describes a relaxed structure of BeSiPt4. The functional is PBE-GGA.

## Properties
- ΔE_f (raw): 0.334 eV per atom
- Total moment: 0.00 μB per formula unit
- Space group: F-43m, No. 216
- Energy above the most stable polymorph in this dataset: 783.7 meV per atom
- E: -5.22 eV/atom

abc: 5.2371 5.2371 5.2371
angles: 60.00 60.00 60.00
Closest atoms and distances in Å follow each position.
Positions (direct):
Si 0.7500 0.7500 0.7500  12 Pt 3.07, 4 Be 3.21
Be 0.0000 0.0000 0.0000  12 Pt 3.07, 4 Si 3.21
Pt 0.3749 0.8754 0.3749  6 Pt 2.62
Pt 0.3749 0.3749 0.8754  6 Pt 2.62
Pt 0.3749 0.3749 0.3749  6 Pt 2.62
Pt 0.8754 0.3749 0.3749  6 Pt 2.62


Record 4
This record from Alexandria describes a relaxed structure of BeSi2Pt. The functional is PBE-GGA.

## Properties
- ΔE_f (raw): -0.164 eV per atom
- Total moment: 0.00 μB per formula unit
- Space group: C2/m, No. 12
- E: -5.32 eV/atom

abc: 4.2306 4.2306 4.2136
angles: 84.15 84.15 45.46
Closest atoms and distances in Å follow each position.
Positions (direct):
Pt 0.2500 0.2500 0.2500  6 Si 2.42-2.66, 4 Be 2.67
Si 0.9922 0.9922 0.9795  1 Be 2.22, 1 Pt 2.42
Si 0.5078 0.5078 0.5205  1 Be 2.22, 1 Pt 2.42
Be 0.7500 0.7500 0.7500  2 Si 2.22


Record 5
This record from Alexandria describes a relaxed structure of Be2SiPt. The functional is PBE-GGA.

## Properties
- ΔE_f (raw): -0.269 eV per atom
- Total moment: 0.00 μB per formula unit
- Space group: P4/mmm, No. 123
- E: -5.00 eV/atom

abc: 3.6347 3.6347 3.4407
angles: 90.00 90.00 90.00
Closest atoms and distances in Å follow each position.
Positions (direct):
Pt 0.5000 0.0000 0.5000  8 Be 2.50, 4 Si 2.57
Si 0.0000 0.5000 0.5000  8 Be 2.50, 4 Pt 2.57
Be 0.0000 0.0000 0.0000  4 Si 2.50, 4 Pt 2.50, 4 Be 2.57
Be 0.5000 0.5000 0.0000  4 Pt 2.50, 4 Si 2.50, 4 Be 2.57


Record 6
This record from Alexandria describes a relaxed structure of Be2SiPt. The functional is PBE-GGA.

## Properties
- ΔE_f (raw): -0.214 eV per atom
- Total moment: 0.00 μB per formula unit
- Space group: P4mm, No. 99
- E: -4.94 eV/atom

abc: 3.1016 3.1016 4.8427
angles: 90.00 90.00 90.00
Closest atoms and distances in Å follow each position.
Positions (direct):
Pt 0.0000 0.0000 0.4945  6 Be 2.35-2.54, 4 Si 2.56
Be 0.0000 0.0000 0.0091  2 Pt 2.35-2.49, 4 Be 2.44, 4 Si 2.49
Be 0.5000 0.5000 0.2306  1 Si 2.25, 4 Be 2.44
Si 0.5000 0.5000 0.7659  5 Be 2.25-2.49


Record 7
This record from Alexandria describes a relaxed structure of BeSi2Pt2. The functional is PBE-GGA.

## Properties
- ΔE_f (raw): -0.179 eV per atom
- Total moment: 0.00 μB per formula unit
- Space group: P4/mbm, No. 127
- Energy above the most stable polymorph in this dataset: 0.0 meV per atom
- E: -5.51 eV/atom

abc: 6.3810 6.3810 3.6044
angles: 90.00 90.00 90.00
Closest atoms and distances in Å follow each position.
Positions (direct):
Si 0.6433 0.8567 0.5000  6 Pt 2.47-2.69, 1 Si 2.59
Si 0.8567 0.3567 0.5000  6 Pt 2.47-2.69, 1 Si 2.59
Si 0.1433 0.6433 0.5000  6 Pt 2.47-2.69, 1 Si 2.59
Si 0.3567 0.1433 0.5000  6 Pt 2.47-2.69, 1 Si 2.59
Pt 0.1689 0.3311 0.0000  2 Be 2.37, 2 Si 2.47
Pt 0.8311 0.6689 0.0000  2 Be 2.37, 2 Si 2.47
Pt 0.6689 0.1689 0.0000  2 Be 2.37, 2 Si 2.47
Pt 0.3311 0.8311 0.0000  2 Be 2.37, 2 Si 2.47
Be 0.5000 0.5000 0.0000  4 Pt 2.37
Be 0.0000 0.0000 0.0000  4 Pt 2.37


Record 8
This record from Alexandria describes a relaxed structure of Be2SiPt. The functional is PBE-GGA.

## Properties
- ΔE_f (raw): -0.034 eV per atom
- Total moment: 0.00 μB per formula unit
- Space group: R-3m, No. 166
- E: -4.76 eV/atom

abc: 7.5656 7.5656 7.5656
angles: 20.91 20.91 20.91
Closest atoms and distances in Å follow each position.
Positions (direct):
Be 0.9990 0.9990 0.9990  3 Pt 2.42, 3 Si 2.45
Be 0.5010 0.5010 0.5010  3 Pt 2.42, 3 Si 2.45
Si 0.7500 0.7500 0.7500  6 Be 2.45, 6 Si 2.75
Pt 0.2500 0.2500 0.2500  6 Be 2.42


Record 9
This record from Alexandria describes a relaxed structure of Be2SiPt2. The functional is PBE-GGA.

## Properties
- ΔE_f (raw): -0.374 eV per atom
- Total moment: 0.00 μB per formula unit
- Space group: P4/mbm, No. 127
- Energy above the most stable polymorph in this dataset: 114.0 meV per atom
- E: -5.37 eV/atom

abc: 6.7393 6.7393 2.7554
angles: 90.00 90.00 90.00
Closest atoms and distances in Å follow each position.
Positions (direct):
Be 0.3756 0.8756 0.0000  1 Be 2.37, 6 Pt 2.42
Be 0.6244 0.1244 0.0000  1 Be 2.37, 6 Pt 2.42
Be 0.8756 0.6244 0.0000  1 Be 2.37, 6 Pt 2.42
Be 0.1244 0.3756 0.0000  1 Be 2.37, 6 Pt 2.42
Pt 0.3329 0.1671 0.5000  6 Be 2.42
Pt 0.1671 0.6671 0.5000  6 Be 2.42
Pt 0.6671 0.8329 0.5000  6 Be 2.42
Pt 0.8329 0.3329 0.5000  6 Be 2.42
Si 0.5000 0.5000 0.0000  4 Be 2.67, 2 Si 2.76, 8 Pt 2.86
Si 0.0000 0.0000 0.0000  4 Be 2.67, 2 Si 2.76, 8 Pt 2.86


Record 10
This record from Alexandria describes a relaxed structure of BeSi2Pt. The functional is PBE-GGA.

## Properties
- ΔE_f (raw): -0.086 eV per atom
- Total moment: 0.00 μB per formula unit
- Space group: Immm, No. 71
- E: -5.24 eV/atom

abc: 6.0594 6.0594 6.0594
angles: 154.12 143.35 45.41
Closest atoms and distances in Å follow each position.
Positions (direct):
Be 0.7500 0.2500 0.5000  4 Pt 2.34
Si 0.0517 0.0517 0.0000  2 Pt 2.60, 6 Si 2.61-2.71
Si 0.4483 0.4483 0.0000  2 Pt 2.60, 6 Si 2.61-2.71
Pt 0.2500 0.7500 0.5000  4 Be 2.34, 4 Si 2.60


Record 11
This record from Alexandria describes a relaxed structure of Sm2Be3Si4Pt. The functional is PBE-GGA.

## Properties
- ΔE_f (raw): -0.571 eV per atom
- Total moment: 0.00 μB per formula unit
- Space group: P-4m2, No. 115
- E: -5.41 eV/atom

abc: 3.9854 3.9854 9.8546
angles: 90.00 90.00 90.00
Closest atoms and distances in Å follow each position.
Positions (direct):
Si 0.5000 0.0000 0.6396  3 Be 2.28-2.42, 2 Pt 2.42
Si 0.0000 0.5000 0.3604  3 Be 2.28-2.42, 2 Pt 2.42
Si 0.0000 0.0000 0.0000  4 Be 2.36
Si 0.5000 0.5000 0.0000  4 Be 2.36
Sm 0.5000 0.0000 0.2435  6 Be 3.04-3.22, 8 Si 3.04-3.12, 2 Pt 3.22
Sm 0.0000 0.5000 0.7565  6 Be 3.04-3.22, 8 Si 3.04-3.12, 2 Pt 3.22
Be 0.5000 0.0000 0.8709  5 Si 2.28-2.36
Be 0.0000 0.5000 0.1291  5 Si 2.28-2.36
Be 0.0000 0.0000 0.5000  4 Si 2.42
Pt 0.5000 0.5000 0.5000  4 Si 2.42


Record 12
This record from Alexandria describes a relaxed structure of SmBeSiPt3. The functional is PBE-GGA.

## Properties
- ΔE_f (raw): -0.865 eV per atom
- Total moment: 0.00 μB per formula unit
- Space group: Cmcm, No. 63
- E: -6.20 eV/atom

abc: 5.5667 6.4340 6.6588
angles: 118.89 90.00 90.00
Closest atoms and distances in Å follow each position.
Positions (direct):
Sm 0.7500 0.2758 0.5516  8 Pt 3.00-3.29, 1 Be 3.01, 2 Si 3.03
Sm 0.2500 0.7242 0.4484  8 Pt 3.00-3.29, 1 Be 3.01, 2 Si 3.03
Si 0.2500 0.3777 0.7553  5 Pt 2.31-2.45
Si 0.7500 0.6223 0.2447  5 Pt 2.31-2.45
Pt 0.2500 0.1795 0.3590  1 Be 2.30, 1 Si 2.31
Pt 0.7500 0.8205 0.6410  1 Be 2.30, 1 Si 2.31
Pt 0.0000 0.7225 0.0000  2 Be 2.27, 2 Si 2.45
Pt 0.0000 0.2775 0.0000  2 Be 2.27, 2 Si 2.45
Pt 0.5000 0.2775 0.0000  2 Be 2.27, 2 Si 2.45
Pt 0.5000 0.7225 0.0000  2 Be 2.27, 2 Si 2.45
Be 0.2500 0.9822 0.9644  5 Pt 2.27-2.30
Be 0.7500 0.0178 0.0356  5 Pt 2.27-2.30